The following is a PBE calculation of crystalline Sm3Zn3In at its relaxed geometry, from Alexandria via LeMat-Bulk.

- volume (Å³ per cell) = 339.4
- D(E_F) (states/eV/atom) = 0.9828
- formation energy from the elements (meV/atom) = -320
- space group = No. 12

Cell: 4.7700 6.0237 13.2728 Å, 76.91 79.65 66.68°
Last column: nearest neighbours and their distance in Å.
Sites, in units of the cell vectors:
In  0.7342  0.1602  0.3715  3 Zn 2.73-2.79
In  0.2658  0.8398  0.6285  3 Zn 2.73-2.79
Sm  0.5628  0.2594  0.6149  7 Zn 3.14-3.43, 4 In 3.25-3.32
Sm  0.2482  0.3091  0.1944  6 Zn 3.13-3.43, 2 In 3.32, 2 Sm 3.47
Sm  0.4372  0.7406  0.3851  7 Zn 3.14-3.43, 4 In 3.25-3.32
Sm  0.7518  0.6909  0.8056  6 Zn 3.13-3.43, 2 In 3.32, 2 Sm 3.47
Sm  0.5866  0.7366  0.0901  7 Zn 3.04-3.38
Sm  0.4134  0.2634  0.9099  7 Zn 3.04-3.38
Zn  0.1157  0.8241  0.9445  2 Zn 2.61-2.62
Zn  0.0420  0.1438  0.7723  1 Zn 2.61, 1 In 2.73
Zn  0.8843  0.1759  0.0555  2 Zn 2.61-2.62
Zn  0.1170  0.3159  0.4501  1 Zn 2.60, 2 In 2.79
Zn  0.8830  0.6841  0.5499  1 Zn 2.60, 2 In 2.79
Zn  0.9580  0.8562  0.2277  1 Zn 2.61, 1 In 2.73